Computed, not measured: a geometry-optimized IrOs4Pt structure at the PBE level of DFT.

Structure (extended XYZ):
```
6
Lattice="0.000 3.613 3.613 3.613 0.000 3.613 3.613 3.613 0.000" Properties=species:S:1:pos:R:3 pbc="T T T"
Ir 0.000 0.000 0.000
Os 2.708 4.518 4.518
Os 2.708 2.708 2.708
Os 4.518 4.518 2.708
Pt 5.419 5.419 5.419
Os 4.518 2.708 4.518
```

Computed properties:
Its energy is -9.0921 eV per atom. As for the calculated volume: 94 Å³ per cell. The density of states at the Fermi level is 1.94 states/eV/atom. The total magnetization is 0.0001 μB/atom.



Computed, not measured: a geometry-optimized In2AuSe structure at the PBE level of DFT.

Structure (extended XYZ):
```
4
Lattice="3.856 0.000 0.000 0.000 2.996 -0.014 0.000 0.034 8.008" Properties=species:S:1:pos:R:3 pbc="T T T"
Se 1.928 0.757 1.998
Au 1.928 2.272 5.995
In 0.000 0.780 7.799
In 0.000 0.769 4.205
```

Computed properties:
As for the calculated volume: 93 Å³ per cell. The density of states at the Fermi level is 0.38 states/eV/atom. The energy relative to the elements, uncorrected is -0.1794 eV/atom. The total magnetization is 0.0000 μB/atom.



Computed, not measured: a geometry-optimized P2IrPb structure at the PBE level of DFT.

Structure (extended XYZ):
```
4
Lattice="-2.650 -0.008 1.916 2.187 -3.270 3.011 1.718 3.351 2.391" Properties=species:S:1:pos:R:3 pbc="T T T"
Pb -0.466 1.671 2.153
P -0.231 -1.639 2.463
Ir 1.953 0.041 2.701
P 0.000 0.000 0.000
```

Computed properties:
Its energy is -5.0748 eV per atom. As for the calculated volume: 72 Å³ per cell. The density of states at the Fermi level is 0.81 states/eV/atom. The total magnetization is 0.0000 μB/atom.



Computed, not measured: a geometry-optimized Dy2Ni3As4Pd structure at the PBE level of DFT.

Structure (extended XYZ):
```
10
Lattice="4.217 0.000 0.000 0.000 4.217 0.000 0.000 0.000 9.495" Properties=species:S:1:pos:R:3 pbc="T T T"
As 2.108 0.000 6.080
As 0.000 0.000 0.000
Ni 2.108 0.000 8.394
Pd 2.108 2.108 4.748
Ni 0.000 0.000 4.748
Dy 0.000 2.108 7.157
Ni 0.000 2.108 1.102
As 2.108 2.108 0.000
As 0.000 2.108 3.416
Dy 2.108 0.000 2.339
```

Computed properties:
Its energy is -5.8311 eV per atom. As for the calculated volume: 169 Å³ per cell. The density of states at the Fermi level is 0.34 states/eV/atom. The total magnetization is 0.0000 μB/atom.



Computed, not measured: a geometry-optimized Tb3SmTm2Se6 structure at the PBE level of DFT.

Structure (extended XYZ):
```
12
Lattice="-0.801 5.578 -4.279 -5.399 -4.430 1.137 0.126 3.323 6.247" Properties=species:S:1:pos:R:3 pbc="T T T"
Tm -2.340 2.229 -2.467
Tb -1.470 5.646 -0.293
Tb -4.604 -1.175 3.398
Se -1.529 2.815 3.903
Sm 0.000 0.000 0.000
Se -3.737 5.074 1.417
Tm -3.861 -1.081 -0.675
Se -5.319 1.630 3.281
Tb -3.037 2.236 1.552
Se -2.337 -0.603 1.687
Se -0.755 2.841 -0.177
Se -4.545 1.656 -0.798
```

Computed properties:
As for the calculated volume: 289 Å³ per cell. The density of states at the Fermi level is 0.44 states/eV/atom. The energy relative to the elements, uncorrected is -1.7448 eV/atom. The total magnetization is 0.0000 μB/atom.



Computed, not measured: a geometry-optimized TaRu structure at the PBE level of DFT.

Structure (extended XYZ):
```
4
Lattice="-1.797 2.011 0.658 -1.767 -0.952 -1.917 -3.539 -5.049 5.768" Properties=species:S:1:pos:R:3 pbc="T T T"
Ru -1.244 -0.239 0.261
Ta -3.153 -2.962 3.371
Ru -5.859 -3.751 4.248
Ta -3.950 -1.028 1.137
```

Computed properties:
Its energy is -10.5740 eV per atom. As for the calculated volume: 65 Å³ per cell. The density of states at the Fermi level is 0.78 states/eV/atom. The total magnetization is 0.0000 μB/atom.



Computed, not measured: a geometry-optimized PuScRh4 structure at the PBE level of DFT.

Structure (extended XYZ):
```
6
Lattice="5.273 0.000 0.000 2.636 4.566 0.000 2.636 1.522 4.305" Properties=species:S:1:pos:R:3 pbc="T T T"
Rh 3.952 3.806 2.692
Pu 2.636 1.522 1.076
Rh 5.273 3.044 0.535
Rh 6.593 3.806 2.692
Sc 0.000 0.000 0.000
Rh 5.273 1.519 2.692
```

Computed properties:
As for the calculated volume: 104 Å³ per cell. The density of states at the Fermi level is 2.15 states/eV/atom. For the offset from the most stable computed form, the calculation gives 0.0 meV/atom. The total magnetization is 0.8331 μB/atom.



Computed, not measured: a geometry-optimized PmInGa2 structure at the PBE level of DFT.

Structure (extended XYZ):
```
4
Lattice="3.713 0.000 0.000 0.000 3.713 0.000 0.000 0.000 6.760" Properties=species:S:1:pos:R:3 pbc="T T T"
Ga 0.000 0.000 1.440
In 1.856 1.856 0.000
Pm 1.856 1.856 3.380
Ga 0.000 0.000 5.320
```

Computed properties:
As for the calculated volume: 93 Å³ per cell. The density of states at the Fermi level is 0.76 states/eV/atom. For the offset from the most stable computed form, the calculation gives 197.9 meV/atom. The total magnetization is 0.0710 μB/atom.



Computed, not measured: a geometry-optimized Tm5Zr3Te12 structure at the PBE level of DFT.

Structure (extended XYZ):
```
80
Lattice="-14.313 -4.351 -3.207 6.312 -9.991 9.717 -0.206 13.898 6.394" Properties=species:S:1:pos:R:3 pbc="T T T"
Tm 2.867 -2.825 9.285
Te -9.623 -3.710 -0.723
Te -3.867 2.779 6.061
Zr -0.392 9.119 7.623
Zr -1.474 -4.402 6.469
Tm -1.340 3.852 6.839
Te -1.518 6.290 8.310
Te 1.415 3.266 13.627
Te 2.624 -0.138 10.213
Te -4.109 -0.519 9.473
Te -4.340 -3.223 6.843
Te 3.043 3.596 10.608
Te -9.166 5.914 6.456
Te -3.168 -5.394 9.248
Tm -10.126 7.649 4.404
Tm -7.157 -2.176 -1.603
Te -5.800 2.134 1.254
Te -2.212 11.626 6.217
Tm -7.260 4.773 1.594
Te -6.690 -6.734 4.594
Te 0.120 -3.546 9.013
Te -2.133 -7.625 5.605
Te -2.408 -2.578 11.650
Te -4.099 0.075 3.431
Tm -4.001 -7.171 3.255
Te -6.957 0.615 5.843
Te -7.846 -1.456 10.065
Zr -8.394 -5.273 2.038
Tm 3.156 -4.996 4.859
Zr 0.186 4.829 10.866
Te -2.019 8.386 5.062
Zr -0.763 -0.439 10.082
Te 0.654 -3.528 3.963
Te -5.996 -12.071 6.687
Te -5.040 4.950 3.657
Te -9.934 -7.441 3.673
Te -11.250 -4.041 2.296
Te -8.303 -2.663 4.218
Tm -3.475 -7.987 8.097
Te -12.554 4.084 1.871
Te 4.583 -7.523 9.348
Te 0.513 -0.336 12.929
Te -0.071 4.120 4.297
Te -8.137 -4.564 8.607
Te 0.095 2.219 8.686
Te -1.685 2.448 11.627
Tm -4.104 -0.222 6.452
Zr -11.787 -1.582 0.007
Te -2.634 -4.479 3.572
Tm 0.000 0.000 0.000
Te 0.958 -6.358 6.448
Tm -0.103 6.949 3.197
Tm -8.734 0.372 8.063
Te -12.791 7.079 3.557
Tm -11.075 2.381 3.620
Tm -4.392 1.948 10.878
Te -6.075 7.181 7.300
Te -8.862 3.084 8.941
Te -6.523 -2.893 1.277
Tm -3.815 -2.392 2.026
Te -6.189 -8.830 7.842
Te -1.250 -1.059 7.061
Tm 0.526 -0.816 4.842
Te -8.721 -0.108 -0.025
Zr -7.816 -9.563 5.281
Te 4.346 -4.528 11.033
Zr -5.341 -3.319 10.094
Zr 3.579 1.137 12.897
Tm -6.867 -4.296 6.066
Tm 3.053 1.953 8.056
Zr -2.867 2.875 2.811
Tm -4.733 7.543 4.808
Te 1.726 6.997 9.232
Zr -6.734 3.957 6.435
Te -5.574 4.035 9.332
Zr -7.445 -0.006 2.823
Te -0.362 1.012 2.839
Te -8.327 3.102 3.891
Te -10.831 -0.306 2.691
Tm 1.919 -8.093 8.500
```

Computed properties:
As for the calculated volume: 2757 Å³ per cell. The density of states at the Fermi level is 0.59 states/eV/atom. The energy relative to the elements, uncorrected is -0.7716 eV/atom. The total magnetization is 0.1508 μB/atom.



Computed, not measured: a geometry-optimized CaAc2Au6 structure at the PBE level of DFT.

Structure (extended XYZ):
```
9
Lattice="-1.547 -2.665 -2.519 6.250 0.794 -4.679 1.215 -4.729 7.402" Properties=species:S:1:pos:R:3 pbc="T T T"
Au 4.700 -2.722 -3.151
Au 1.218 -3.878 3.355
Au 2.434 -3.010 -1.455
Au 4.297 -0.688 -5.056
Au 3.484 -3.590 1.659
Ac 1.019 -1.619 1.087
Ca 3.125 0.397 -2.340
Ac 4.899 -4.982 -0.883
Au 0.405 -1.183 -2.142
```

Computed properties:
As for the calculated volume: 240 Å³ per cell. The density of states at the Fermi level is 0.45 states/eV/atom. For the offset from the most stable computed form, the calculation gives 93.5 meV/atom. The total magnetization is 0.0000 μB/atom.



Computed, not measured: a geometry-optimized NaSnTe structure at the PBE level of DFT.

Structure (extended XYZ):
```
12
Lattice="4.070 0.000 0.000 0.000 8.003 0.000 0.000 0.000 12.166" Properties=species:S:1:pos:R:3 pbc="T T T"
Te 0.003 3.739 5.630
Na 2.036 5.891 4.256
Te 4.067 7.740 0.453
Sn 2.033 7.154 10.512
Sn 0.002 0.849 4.429
Na 0.001 6.113 7.910
Sn 2.037 3.153 7.737
Na 4.068 2.111 10.338
Na 2.033 1.890 1.827
Sn 4.067 4.850 1.654
Te 2.032 4.264 11.712
Te 2.038 0.263 6.536
```

Computed properties:
As for the calculated volume: 396 Å³ per cell. The density of states at the Fermi level is 0.39 states/eV/atom. For the offset from the most stable computed form, the calculation gives 210.3 meV/atom. The energy relative to the elements, uncorrected is -0.2890 eV/atom. The total magnetization is 0.0000 μB/atom.



Computed, not measured: a geometry-optimized Ba2CoPt structure at the PBE level of DFT.

Structure (extended XYZ):
```
4
Lattice="-2.908 2.728 -2.199 -3.457 -1.110 3.195 -0.115 3.789 4.852" Properties=species:S:1:pos:R:3 pbc="T T T"
Co -2.340 1.388 4.815
Ba -3.506 2.345 7.544
Ba -2.435 2.310 1.371
Pt -3.558 3.383 4.186
```

Computed properties:
Its energy is -4.4486 eV per atom. As for the calculated volume: 125 Å³ per cell. The density of states at the Fermi level is 0.82 states/eV/atom. The total magnetization is 0.2174 μB/atom.



Look up the calculated volume of the twelfth one.
125 Å³ per cell



Repeat the third record exactly.
Computed, not measured: a geometry-optimized P2IrPb structure at the PBE level of DFT.

Structure (extended XYZ):
```
4
Lattice="-2.650 -0.008 1.916 2.187 -3.270 3.011 1.718 3.351 2.391" Properties=species:S:1:pos:R:3 pbc="T T T"
Pb -0.466 1.671 2.153
P -0.231 -1.639 2.463
Ir 1.953 0.041 2.701
P 0.000 0.000 0.000
```

Computed properties:
Its energy is -5.0748 eV per atom. As for the calculated volume: 72 Å³ per cell. The density of states at the Fermi level is 0.81 states/eV/atom. The total magnetization is 0.0000 μB/atom.



Look up the calculated volume of the twelfth one.
125 Å³ per cell



Which of these has the highest calculated volume?
Tm5Zr3Te12